(1)
PBE-GGA KSrHg2, optimized geometry; energy of formation = -0.2561 eV per atom; uncorrected energy = -1.10 eV/atom; spin magnetization = 0.0 μB/f.u.
1.0
-2.682 3.543 0.088
-4.278 -0.478 1.106
-0.192 2.413 9.230
K Sr Hg
1 1 2
direct
0.499 0.499 0.502
0.667 0.667 0.998
0.078 0.078 0.767
0.256 0.256 0.233

(2)
PBE-GGA RbSrRhO4, optimized geometry; uncorrected energy = -5.64 eV/atom; spin magnetization = 0.0 μB/f.u.; formation energy from raw total energies = -133 kJ per mole of atoms
1.0
6.301 0.000 0.093
0.000 6.002 0.000
-2.365 0.000 7.351
Rb Sr Rh O
2 2 2 8
direct
0.719 0.750 0.937
0.281 0.250 0.063
0.795 0.750 0.455
0.205 0.250 0.545
0.259 0.750 0.324
0.741 0.250 0.676
0.962 0.472 0.700
0.038 0.972 0.300
0.038 0.528 0.300
0.962 0.028 0.700
0.431 0.750 0.172
0.569 0.250 0.828
0.426 0.750 0.565
0.574 0.250 0.435

(3)
PBE-GGA HfZn3P, optimized geometry; energy of formation = 1.3094 eV per atom; ΔE to the lowest computed polymorph = 748.2 meV per atom; uncorrected energy = -2.53 eV/atom; spin magnetization = 0.0 μB/f.u.
1.0
5.156 0.000 0.000
0.000 5.156 0.000
0.000 0.000 5.156
P Zn Hf
1 3 1
direct
0.500 0.500 0.500
0.000 0.500 0.000
0.000 0.000 0.500
0.500 0.000 0.000
0.000 0.000 0.000

(4)
PBE-GGA PmIn3Ag3, optimized geometry; energy of formation = -0.1278 eV per atom; ΔE to the lowest computed polymorph = 0.0 meV per atom; uncorrected energy = -3.20 eV/atom; spin magnetization = 0.0 μB/f.u.
1.0
8.466 0.000 0.000
4.233 7.332 0.000
4.233 2.444 5.582
Pm In Ag
2 6 6
direct
0.335 0.335 0.996
0.665 0.665 0.004
0.466 0.776 0.638
0.776 0.120 0.638
0.120 0.466 0.638
0.880 0.534 0.362
0.224 0.880 0.362
0.534 0.224 0.362
0.235 0.666 0.149
0.951 0.235 0.149
0.666 0.951 0.149
0.334 0.049 0.851
0.049 0.765 0.851
0.765 0.334 0.851

(5)
PBE-GGA Cs2KHg10, optimized geometry; energy of formation = -0.1534 eV per atom; uncorrected energy = -0.60 eV/atom; spin magnetization = 0.0 μB/f.u.
1.0
7.025 0.000 0.000
0.000 6.985 0.000
0.000 0.000 22.233
Cs K Hg
4 2 20
direct
0.500 0.311 0.833
0.500 0.689 0.167
0.500 0.811 0.667
0.500 0.189 0.333
0.000 0.500 0.500
0.000 0.000 0.000
0.000 0.985 0.568
0.000 0.015 0.432
0.000 0.485 0.932
0.000 0.515 0.068
0.000 0.060 0.714
0.000 0.940 0.286
0.283 0.199 0.123
0.283 0.801 0.877
0.717 0.699 0.377
0.717 0.301 0.623
0.717 0.801 0.877
0.717 0.199 0.123
0.283 0.301 0.623
0.283 0.699 0.377
0.000 0.873 0.154
0.000 0.127 0.846
0.000 0.373 0.346
0.000 0.627 0.654
0.000 0.440 0.214
0.000 0.560 0.786

(6)
PBE-GGA Cs3CuO3, optimized geometry; uncorrected energy = -4.02 eV/atom; spin magnetization = 2.1 μB/f.u.; formation energy from raw total energies = -92 kJ per mole of atoms
1.0
-5.439 -2.363 1.611
-0.422 -4.137 -7.493
3.650 -3.793 6.762
Cs Cu O
6 2 6
direct
0.250 0.639 0.819
0.250 0.180 0.361
0.250 0.180 0.821
0.750 0.361 0.181
0.750 0.820 0.639
0.750 0.820 0.179
0.750 0.333 0.667
0.250 0.667 0.333
0.750 0.578 0.788
0.750 0.210 0.422
0.750 0.211 0.790
0.250 0.422 0.212
0.250 0.790 0.578
0.250 0.789 0.210

(7)
PBE-GGA RuBrN2F, optimized geometry; ΔE to the lowest computed polymorph = 1894.9 meV per atom; uncorrected energy = -3.35 eV/atom; spin magnetization = 1.1 μB/f.u.; formation energy from raw total energies = 245 kJ per mole of atoms
1.0
-3.157 2.681 1.445
-2.585 -1.963 -2.008
-0.667 -2.640 3.440
Ru N Br F
1 2 1 1
direct
0.000 0.500 0.000
0.000 0.000 0.500
0.500 0.000 0.000
0.500 0.500 0.500
0.000 0.000 0.000

(8)
PBE-GGA PbC, optimized geometry; energy of formation = 2.3369 eV per atom; ΔE to the lowest computed polymorph = 1484.7 meV per atom; uncorrected energy = -4.13 eV/atom; spin magnetization = 0.5 μB/f.u.
1.0
-1.308 0.372 -4.802
-0.397 -4.967 -0.277
-4.800 0.310 1.332
Pb C
3 3
direct
0.000 0.500 0.000
0.000 0.000 0.500
0.500 0.000 0.000
0.500 0.000 0.500
0.500 0.500 0.000
0.000 0.500 0.500

(9)
PBE-GGA AcMgBi3, optimized geometry; energy of formation = -0.4633 eV per atom; ΔE to the lowest computed polymorph = 0.0 meV per atom; uncorrected energy = -3.93 eV/atom; spin magnetization = 0.0 μB/f.u.
1.0
6.737 0.000 0.000
0.000 6.643 0.000
0.000 0.000 14.538
Ac Mg Bi
4 4 12
direct
0.750 0.498 0.684
0.250 0.502 0.316
0.750 0.998 0.316
0.250 0.002 0.684
0.500 0.250 0.105
0.000 0.750 0.895
0.500 0.750 0.895
0.000 0.250 0.105
0.000 0.250 0.499
0.500 0.750 0.501
0.000 0.750 0.501
0.500 0.250 0.499
0.250 0.174 0.925
0.750 0.826 0.075
0.250 0.674 0.075
0.750 0.326 0.925
0.250 0.498 0.756
0.750 0.502 0.244
0.250 0.998 0.244
0.750 0.002 0.756